Material: Li3ZnIn2
Method: DFT, PBE
State: relaxed

Computed properties:
**N(E_F)**: 0.28 states/eV/atom
**Calculated formation energy**: -0.241 eV/atom
**Polymorph energy (0 for the lowest one)**: 0.000 eV per atom
**Total energy**: -2.323 eV/atom

Cell lengths 4.632, 13.888, 6.672 Å; angles 90.00, 90.00, 90.00 degrees
Space group Cmmm (No. 65)
Symmetry-distinct sites (fractional):
Li 0.000 0.000 0.244 x4
Li 0.000 0.326 0.226 x8
Zn 0.000 0.159 0.000 x4
In 0.000 0.166 0.500 x4
In 0.000 0.500 0.000 x2
In 0.000 0.500 0.500 x2

---

Material: Li4Zn3In2
Method: DFT, PBE
State: relaxed

Computed properties:
**N(E_F)**: 0.24 states/eV/atom
**Calculated formation energy**: -0.193 eV/atom
**Total energy**: -2.077 eV/atom

Cell lengths 9.135, 4.280, 8.478 Å; angles 90.00, 110.33, 90.00 degrees
Space group C2/m (No. 12)
Symmetry-distinct sites (fractional):
Li 0.023 0.000 0.341 x4
Li 0.155 0.500 0.882 x4
Zn 0.000 0.000 0.000 x2
Zn 0.152 0.500 0.548 x4
In 0.189 0.500 0.230 x4

---

Material: Li4ZnIn2
Method: DFT, PBE
State: relaxed

Computed properties:
**N(E_F)**: 0.23 states/eV/atom
**Calculated formation energy**: -0.194 eV/atom
**Total energy**: -2.252 eV/atom

Cell lengths 4.6604, 4.6604, 20.2692 Å; angles 90.00, 90.00, 120.00 degrees
Space group R-3m (No. 166, hexagonal axes)
Symmetry-distinct sites (fractional):
Li 0.0000 0.0000 0.0781 x6
Li 0.0000 0.0000 0.3643 x6
Zn 0.0000 0.0000 0.5000 x3
In 0.0000 0.0000 0.2252 x6

---

Material: LiZn2In
Method: DFT, PBE
State: relaxed

Computed properties:
**N(E_F)**: 0.23 states/eV/atom
**Calculated formation energy**: -0.088 eV/atom
**Total energy**: -1.888 eV/atom

Cell lengths 3.462, 3.462, 5.879 Å; angles 90.00, 90.00, 90.00 degrees
Space group P4mm (No. 99)
Symmetry-distinct sites (fractional):
Li 0.000 0.000 0.000 x1
Zn 0.000 0.000 0.454 x1
Zn 0.500 0.500 0.238 x1
In 0.500 0.500 0.738 x1

---

Material: Li5ZnIn2
Method: DFT, PBE
State: relaxed

Computed properties:
**N(E_F)**: 0.32 states/eV/atom
**Calculated formation energy**: -0.207 eV/atom
**Total energy**: -2.247 eV/atom

Cell lengths 4.649, 4.649, 13.169 Å; angles 90.00, 90.00, 90.00 degrees
Space group I4/mmm (No. 139)
Symmetry-distinct sites (fractional):
Li 0.000 0.000 0.000 x2
Li 0.000 0.500 0.118 x8
Zn 0.000 0.000 0.500 x2
In 0.000 0.000 0.250 x4

---

Material: LiZn2In
Method: DFT, PBE
State: relaxed

Computed properties:
**N(E_F)**: 0.26 states/eV/atom
**Calculated formation energy**: -0.068 eV/atom
**Total energy**: -1.868 eV/atom

Cell lengths 3.143, 3.934, 5.788 Å; angles 90.00, 90.00, 90.00 degrees
Space group Pmmm (No. 47)
Symmetry-distinct sites (fractional):
Li 0.000 0.000 0.000 x1
Zn 0.500 0.500 0.226 x2
In 0.000 0.000 0.500 x1

---

Material: Li3Zn8In
Method: DFT, PBE
State: relaxed

Computed properties:
**N(E_F)**: 0.34 states/eV/atom
**Calculated formation energy**: -0.129 eV/atom
**Total energy**: -1.685 eV/atom

Cell lengths 5.1931, 5.1931, 25.3047 Å; angles 90.00, 90.00, 120.00 degrees
Space group R3m (No. 160, hexagonal axes)
Symmetry-distinct sites (fractional):
Li 0.0000 0.0000 0.0000 x3
Li 0.0000 0.0000 0.1237 x3
Li 0.0000 0.0000 0.4981 x3
Zn 0.0000 0.0000 0.3123 x3
Zn 0.0000 0.0000 0.8109 x3
Zn 0.0036 0.5018 0.0634 x9
Zn 0.1679 0.3358 0.8922 x9
In 0.0000 0.0000 0.6245 x3

---

Material: Li8ZnIn6
Method: DFT, PBE
State: relaxed

Computed properties:
**N(E_F)**: 0.24 states/eV/atom
**Calculated formation energy**: -0.177 eV/atom
**Total energy**: -2.378 eV/atom

Cell lengths 8.0982, 8.0982, 17.5671 Å; angles 90.00, 90.00, 120.00 degrees
Space group R-3 (No. 148, hexagonal axes)
Symmetry-distinct sites (fractional):
Li 0.0000 0.0000 0.1667 x6
Li 0.0005 0.3372 0.3801 x18
Zn 0.0000 0.0000 0.5000 x3
In 0.0003 0.3322 0.5478 x18

---

Material: LiZn3In
Method: DFT, PBE
State: relaxed

Computed properties:
**N(E_F)**: 0.54 states/eV/atom
**Calculated formation energy**: 0.316 eV/atom
**Polymorph energy (0 for the lowest one)**: 0.000 eV per atom
**Total energy**: -1.378 eV/atom

Cell lengths 4.666, 4.666, 4.666 Å; angles 90.00, 90.00, 90.00 degrees
Space group Pm-3m (No. 221)
Symmetry-distinct sites (fractional):
Li 0.000 0.000 0.000 x1
Zn 0.000 0.000 0.500 x3
In 0.500 0.500 0.500 x1

---

Material: Li3ZnIn
Method: DFT, PBE
State: relaxed

Computed properties:
**N(E_F)**: 0.38 states/eV/atom
**Calculated formation energy**: 0.088 eV/atom
**Polymorph energy (0 for the lowest one)**: 0.257 eV per atom
**Total energy**: -1.863 eV/atom

Cell lengths 4.755, 4.755, 4.755 Å; angles 90.00, 90.00, 90.00 degrees
Space group Pm-3m (No. 221)
Symmetry-distinct sites (fractional):
Li 0.000 0.000 0.500 x3
Zn 0.000 0.000 0.000 x1
In 0.500 0.500 0.500 x1

---

Material: LiZn2In
Method: DFT, PBE
State: relaxed

Computed properties:
**N(E_F)**: 0.19 states/eV/atom
**Calculated formation energy**: -0.063 eV/atom
**Total energy**: -1.863 eV/atom

Cell lengths 3.061, 4.722, 5.082 Å; angles 90.00, 93.43, 90.00 degrees
Space group P2/m (No. 10)
Symmetry-distinct sites (fractional):
Li 0.000 0.000 0.000 x1
Zn 0.298 0.500 0.218 x2
In 0.500 0.000 0.500 x1

---

Material: Li2ZnIn2
Method: DFT, PBE
State: relaxed

Computed properties:
**N(E_F)**: 0.37 states/eV/atom
**Calculated formation energy**: -0.128 eV/atom
**Polymorph energy (0 for the lowest one)**: 0.027 eV per atom
**Total energy**: -2.244 eV/atom

Cell lengths 6.869, 11.521, 5.088 Å; angles 90.00, 90.00, 90.00 degrees
Space group Ibam (No. 72)
Symmetry-distinct sites (fractional):
Li 0.162 0.073 0.000 x8
Zn 0.000 0.500 0.250 x4
In 0.232 0.179 0.500 x8

---

no.,calculated density (Mg/m³)
1,4.89
2,4.85
3,4.22
4,5.95
5,3.85
6,5.86
7,5.55
8,4.04
9,5.20
10,3.11
11,5.72
12,5.10